# 1
Computed, not measured: a relaxed Rb4U3BeSe8 crystal at the GGA-PBE level of DFT.

Results
size of the total moment: 8.00 μB/f.u.
symmetry: C2/m, No. 12
formation energy from raw total energies: -1.044 eV/atom
volume: 30.363 Å³/atom
DFT total energy: -5.38 eV per atom

a = 8.302 Å, b = 9.354 Å, c = 8.412 Å
α = 116.80°, β = 119.57°, γ = 90.00°
Each line ends with the local moment (μB).
Atoms (fractional coordinates):
Se: 0.765 0.301 0.530  -0.05
Se: 0.758 0.677 0.965  -0.05
Se: 0.207 0.677 0.965  -0.05
Rb: 0.000 0.000 0.000  0.00
Se: 0.733 0.701 0.465  -0.06
Se: 0.242 0.323 0.035  -0.05
U: 0.500 0.500 0.500  2.52
U: 0.500 0.500 0.000  2.57
Be: 0.000 0.500 0.000  0.03
Rb: 0.500 0.000 0.500  0.00
Rb: 0.000 0.000 0.500  0.00
Se: 0.235 0.699 0.470  -0.05
Rb: 0.500 0.000 0.000  0.00
Se: 0.793 0.323 0.035  -0.05
Se: 0.267 0.299 0.535  -0.06
U: 0.000 0.500 0.500  2.52

---

# 2
Computed, not measured: a relaxed Mn2TcGeS6 crystal at the GGA-PBE level of DFT.

Results
size of the total moment: 6.38 μB/f.u.
symmetry: P1, No. 1
formation energy from raw total energies: -0.390 eV/atom
volume: 17.805 Å³/atom
DFT total energy: -6.20 eV per atom

a = 6.098 Å, b = 6.100 Å, c = 6.549 Å
α = 62.31°, β = 62.29°, γ = 60.01°
Each line ends with the local moment (μB).
Atoms (fractional coordinates):
S: 0.894 0.627 0.247  -0.01
S: 0.232 0.895 0.247  -0.01
S: 0.419 0.738 0.743  -0.04
S: 0.626 0.232 0.247  -0.01
Mn: 0.507 0.508 0.478  3.51
Ge: 0.313 0.312 0.062  0.01
Mn: 0.013 0.013 0.961  3.39
Tc: 0.819 0.818 0.544  -0.68
S: 0.100 0.419 0.742  -0.04
S: 0.738 0.100 0.742  -0.04

---

# 3
Computed, not measured: a relaxed Sm3Pu4Te8 crystal at the GGA-PBE level of DFT.

Results
size of the total moment: 11.79 μB/f.u.
symmetry: C2/m, No. 12
formation energy from raw total energies: -1.229 eV/atom
volume: 32.795 Å³/atom
DFT total energy: -7.67 eV per atom

a = 8.878 Å, b = 8.871 Å, c = 8.871 Å
α = 89.84°, β = 120.19°, γ = 120.19°
Each line ends with the local moment (μB).
Atoms (fractional coordinates):
Te: 0.500 0.249 0.751  -0.05
Te: 0.999 0.254 0.254  -0.05
Sm: 0.500 0.500 0.500  0.03
Te: 0.000 0.745 0.255  -0.02
Te: 0.500 0.751 0.249  -0.05
Te: 0.000 0.255 0.745  -0.02
Sm: 0.500 0.000 0.500  0.04
Pu: 0.000 0.000 0.500  5.46
Sm: 0.500 0.500 0.000  0.04
Te: 0.001 0.746 0.746  -0.05
Pu: 0.500 0.000 0.000  5.48
Pu: 0.000 0.000 0.000  -5.38
Pu: 0.000 0.500 0.000  5.46
Te: 0.490 0.745 0.745  0.01
Te: 0.510 0.255 0.255  0.01

---

# 4
Computed, not measured: a relaxed ReAgTe2 crystal at the GGA-PBE level of DFT.

Results
size of the total moment: 0.00 μB/f.u.
symmetry: Pm, No. 6
formation energy from raw total energies: 0.424 eV/atom
volume: 28.402 Å³/atom
energy above the most stable polymorph in this dataset: 0.109 eV per atom
DFT total energy: -4.97 eV per atom

a = 4.327 Å, b = 4.267 Å, c = 6.153 Å
α = 90.32°, β = 90.00°, γ = 90.00°
Atoms (fractional coordinates):
Re: 0.500 0.751 0.708
Te: 0.000 0.754 0.934
Ag: 0.000 0.746 0.392
Te: 0.500 0.249 0.466

---

# 5
Computed, not measured: a relaxed ZrReAsSe2 crystal at the GGA-PBE level of DFT.

Results
size of the total moment: 4.51 μB/f.u.
symmetry: P4/mmm, No. 123
formation energy from raw total energies: 0.898 eV/atom
volume: 28.045 Å³/atom
energy above the most stable polymorph in this dataset: 0.363 eV per atom
DFT total energy: -5.62 eV per atom

a = 5.116 Å, b = 5.116 Å, c = 5.357 Å
α = 90.00°, β = 90.00°, γ = 90.00°
Each line ends with the local moment (μB).
Atoms (fractional coordinates):
Re: 0.500 0.500 0.500  4.03
Se: 0.500 0.000 0.000  -0.06
Se: 0.000 0.500 0.000  -0.06
Zr: 0.000 0.000 0.000  0.13
As: 0.000 0.000 0.500  -0.23

---

# 6
Computed, not measured: a relaxed MgAg2Os crystal at the GGA-PBE level of DFT.

Results
size of the total moment: 0.00 μB/f.u.
symmetry: Cmm2, No. 35
volume: 16.675 Å³/atom
calculated formation energy: 1.200 eV per formula unit
DFT total energy: -4.33 eV per atom

a = 2.782 Å, b = 2.782 Å, c = 9.515 Å
α = 90.00°, β = 90.00°, γ = 115.08°
Atoms (fractional coordinates):
Ag: 0.500 0.500 0.257
Mg: 0.000 0.000 0.507
Ag: 0.000 0.000 0.996
Os: 0.500 0.500 0.740